# 1
Computed, not measured: a relaxed structure of Y4HoTh2 at the PBE level of DFT.

N(E_F) ... 1.820 states/eV per atom
ΔE to the lowest computed polymorph ... 0 meV per atom
Raw total energy ... -6.358 eV per atom
Total moment ... 0.00 μB per atom
Formation energy from the elements ... 109 meV per atom

abc: 3.4955 8.5788 8.9656
angles: 120.12 81.55 99.56
Sites, in units of the cell vectors:
1 Th 0.4063 0.4138 0.1303
2 Th 0.5937 0.5862 0.8697
3 Ho 0.0000 0.0000 0.0000
4 Y 0.0545 0.8367 0.2821
5 Y 0.3526 0.7224 0.5797
6 Y 0.6474 0.2776 0.4203
7 Y 0.9455 0.1633 0.7179

# 2
Computed, not measured: a relaxed structure of UMn4Ru at the PBE level of DFT.

N(E_F) ... 1.855 states/eV per atom
Raw total energy ... -9.369 eV per atom
Total moment ... 1.05 μB per atom
Formation energy from the elements ... 172 meV per atom

abc: 4.8783 4.8783 4.8783
angles: 60.00 60.00 60.00
Last column: magnetic moment on the atom in μB.
Sites, in units of the cell vectors:
1 Mn 0.6268 0.1195 0.6268  1.34
2 Mn 0.6268 0.6268 0.6268  1.34
3 Mn 0.1195 0.6268 0.6268  1.34
4 Mn 0.6268 0.6268 0.1195  1.34
5 U 0.2500 0.2500 0.2500  0.61
6 Ru 0.0000 0.0000 0.0000  0.08